Cs3RbTc | PBE-GGA | optimized geometry

Output
Formation enthalpy at 0 K in eV per atom: 1.130

a b c (Å): 6.518 6.518 6.518
angles (deg): 90.00 90.00 90.00
Positions (direct):
Cs: 0.000 0.000 0.500
Cs: 0.000 0.500 0.000
Cs: 0.500 0.000 0.000
Rb: 0.500 0.500 0.500
Tc: 0.000 0.000 0.000